Material: Si3PdO
Method: DFT, PBE
State: optimized geometry

Unit cell a=4.118 b=4.118 c=4.118 alpha=90.00 beta=90.00 gamma=90.00
Fractional coordinates of all 5 atoms:
Si (0.000, 0.000, 0.500)
Si (0.000, 0.500, 0.000)
Si (0.500, 0.000, 0.000)
Pd (0.500, 0.500, 0.500)
O (0.000, 0.000, 0.000)

- energy above the lowest structure with this stoichiometry (kJ/mol of formula units) = 0
- total magnetization (μB per atom) = 0.000
- raw formation energy (meV/atom) = 82
- crystal system = cubic

Material: Er2US4
Method: DFT, PBE
State: optimized geometry

Unit cell a=7.492 b=7.492 c=6.786 alpha=114.61 beta=114.61 gamma=30.35
Fractional coordinates of all 7 atoms:
Er (0.230, 0.230, 0.225)
Er (0.770, 0.770, 0.775)
U (0.500, 0.500, 0.500)
S (0.140, 0.140, 0.505)
S (0.372, 0.372, 0.054)
S (0.628, 0.628, 0.946)
S (0.860, 0.860, 0.495)

- total magnetization (μB per atom) = 0.466
- raw formation energy (meV/atom) = -1726
- crystal system = monoclinic

Material: ZnBr2
Method: DFT, PBE
State: optimized geometry

Unit cell a=9.015 b=9.015 c=5.751 alpha=90.00 beta=90.00 gamma=156.33
Fractional coordinates of all 6 atoms:
Zn (0.184, 0.816, 0.750)
Zn (0.816, 0.184, 0.250)
Br (0.206, 0.794, 0.250)
Br (0.410, 0.590, 0.250)
Br (0.590, 0.410, 0.750)
Br (0.794, 0.206, 0.750)

- total magnetization (μB per atom) = 0.000
- raw formation energy (meV/atom) = -756
- crystal system = orthorhombic

Material: AsHAu3
Method: DFT, PBE
State: optimized geometry

Unit cell a=4.268 b=4.268 c=4.268 alpha=90.00 beta=90.00 gamma=90.00
Fractional coordinates of all 5 atoms:
As (0.000, 0.000, 0.000)
H (0.500, 0.500, 0.500)
Au (0.000, 0.500, 0.500)
Au (0.500, 0.000, 0.500)
Au (0.500, 0.500, 0.000)

- energy above the lowest structure with this stoichiometry (kJ/mol of formula units) = 0
- total magnetization (μB per atom) = 0.000
- crystal system = cubic

Material: CaCoP
Method: DFT, PBE
State: optimized geometry

Unit cell a=3.926 b=5.681 c=5.834 alpha=94.64 beta=109.06 gamma=110.01
Fractional coordinates of all 6 atoms:
Ca (0.242, 0.198, 0.300)
Ca (0.758, 0.802, 0.700)
Co (0.136, 0.410, 0.857)
Co (0.864, 0.590, 0.143)
P (0.456, 0.753, 0.167)
P (0.544, 0.247, 0.833)

- total magnetization (μB per atom) = 0.000
- calculated formation energy (eV per atom) = -0.75
- crystal system = triclinic

Material: TlGaGeS4
Method: DFT, PBE
State: optimized geometry

Unit cell a=7.549 b=7.549 c=7.267 alpha=90.00 beta=90.00 gamma=109.31
Fractional coordinates of all 14 atoms:
Tl (0.000, 0.000, 0.000)
Tl (0.000, 0.000, 0.500)
Ga (0.376, 0.624, 0.750)
Ga (0.624, 0.376, 0.250)
Ge (0.374, 0.626, 0.250)
Ge (0.626, 0.374, 0.750)
S (0.263, 0.737, 0.004)
S (0.263, 0.737, 0.496)
S (0.302, 0.312, 0.250)
S (0.312, 0.302, 0.750)
S (0.688, 0.698, 0.250)
S (0.698, 0.688, 0.750)
S (0.737, 0.263, 0.504)
S (0.737, 0.263, 0.996)

- total magnetization (μB per atom) = 0.000
- raw formation energy (meV/atom) = -464
- crystal system = orthorhombic

Material: YIn7
Method: DFT, PBE
State: optimized geometry

Unit cell a=6.676 b=6.676 c=6.676 alpha=60.00 beta=60.00 gamma=60.00
Fractional coordinates of all 8 atoms:
Y (0.000, 0.000, 0.000)
In (0.000, 0.000, 0.500)
In (0.000, 0.500, 0.000)
In (0.000, 0.500, 0.500)
In (0.500, 0.000, 0.000)
In (0.500, 0.000, 0.500)
In (0.500, 0.500, 0.000)
In (0.500, 0.500, 0.500)

- total magnetization (μB per atom) = 0.000
- calculated formation energy (eV per atom) = -0.17
- crystal system = cubic

Material: Pa4Ga16Pd3
Method: DFT, PBE
State: optimized geometry

Unit cell a=6.223 b=6.223 c=11.165 alpha=90.00 beta=90.00 gamma=90.00
Fractional coordinates of all 23 atoms:
Pa (0.000, 0.500, 0.188)
Pa (0.000, 0.500, 0.812)
Pa (0.500, 0.000, 0.188)
Pa (0.500, 0.000, 0.812)
Ga (0.000, 0.000, 0.198)
Ga (0.000, 0.000, 0.802)
Ga (0.212, 0.212, 0.000)
Ga (0.212, 0.788, 0.000)
Ga (0.244, 0.244, 0.375)
Ga (0.244, 0.244, 0.625)
Ga (0.244, 0.756, 0.375)
Ga (0.244, 0.756, 0.625)
Ga (0.500, 0.500, 0.229)
Ga (0.500, 0.500, 0.771)
Ga (0.756, 0.244, 0.375)
Ga (0.756, 0.244, 0.625)
Ga (0.756, 0.756, 0.375)
Ga (0.756, 0.756, 0.625)
Ga (0.788, 0.212, 0.000)
Ga (0.788, 0.788, 0.000)
Pd (0.000, 0.500, 0.500)
Pd (0.500, 0.000, 0.500)
Pd (0.500, 0.500, 0.000)

- total magnetization (μB per atom) = 0.000
- calculated formation energy (eV per atom) = -0.46
- crystal system = tetragonal

Material: TmSi2Au
Method: DFT, PBE
State: optimized geometry

Unit cell a=5.206 b=5.206 c=3.079 alpha=90.00 beta=90.00 gamma=117.98
Fractional coordinates of all 4 atoms:
Tm (0.000, 0.000, 0.000)
Si (0.000, 0.500, 0.500)
Si (0.500, 0.000, 0.500)
Au (0.500, 0.500, 0.500)

- total magnetization (μB per atom) = 0.000
- raw formation energy (meV/atom) = -352
- crystal system = orthorhombic

Material: TlIn2Ir
Method: DFT, PBE
State: optimized geometry

Unit cell a=3.379 b=4.909 c=5.281 alpha=90.00 beta=90.00 gamma=90.00
Fractional coordinates of all 4 atoms:
Tl (0.000, 0.000, 0.000)
In (0.000, 0.500, 0.500)
In (0.500, 0.500, 0.000)
Ir (0.500, 0.000, 0.500)

- energy above the lowest structure with this stoichiometry (kJ/mol of formula units) = 156
- total magnetization (μB per atom) = 0.000
- calculated formation energy (eV per atom) = 0.43
- crystal system = orthorhombic

Material: Ac2Zn5Ir4
Method: DFT, PBE
State: optimized geometry

Unit cell a=9.237 b=8.234 c=5.771 alpha=80.44 beta=61.53 gamma=38.03
Fractional coordinates of all 11 atoms:
Ac (0.151, 0.151, 0.849)
Ac (0.849, 0.849, 0.151)
Zn (0.000, 0.000, 0.500)
Zn (0.250, 0.250, 0.250)
Zn (0.500, 0.500, 0.000)
Zn (0.500, 0.500, 0.500)
Zn (0.750, 0.750, 0.750)
Ir (0.230, 0.507, 0.493)
Ir (0.493, 0.770, 0.230)
Ir (0.507, 0.230, 0.770)
Ir (0.770, 0.493, 0.507)

- total magnetization (μB per atom) = 0.000
- calculated formation energy (eV per atom) = -0.32
- crystal system = orthorhombic

Material: SrAg2Ir
Method: DFT, PBE
State: optimized geometry

Unit cell a=3.100 b=4.138 c=6.566 alpha=90.00 beta=90.00 gamma=90.00
Fractional coordinates of all 4 atoms:
Sr (0.000, 0.000, 0.000)
Ag (0.000, 0.000, 0.527)
Ag (0.500, 0.500, 0.319)
Ir (0.500, 0.500, 0.740)

- energy above the lowest structure with this stoichiometry (kJ/mol of formula units) = 70
- total magnetization (μB per atom) = 0.048
- calculated formation energy (eV per atom) = 0.25
- crystal system = orthorhombic

Material: LiNpNiRh
Method: DFT, PBE
State: optimized geometry

Unit cell a=4.511 b=4.511 c=4.511 alpha=60.00 beta=60.00 gamma=60.00
Fractional coordinates of all 4 atoms:
Li (0.000, 0.000, 0.000)
Np (0.500, 0.500, 0.500)
Ni (0.250, 0.250, 0.250)
Rh (0.750, 0.750, 0.750)

- total magnetization (μB per atom) = 0.812
- calculated formation energy (eV per atom) = -0.06
- crystal system = cubic

Material: Sr3In4Pb
Method: DFT, PBE
State: optimized geometry

Unit cell a=6.530 b=6.530 c=16.716 alpha=90.00 beta=90.00 gamma=133.74
Fractional coordinates of all 16 atoms:
Sr (0.090, 0.910, 0.608)
Sr (0.090, 0.910, 0.892)
Sr (0.360, 0.640, 0.750)
Sr (0.640, 0.360, 0.250)
Sr (0.910, 0.090, 0.108)
Sr (0.910, 0.090, 0.392)
In (0.208, 0.792, 0.098)
In (0.208, 0.792, 0.402)
In (0.386, 0.614, 0.536)
In (0.386, 0.614, 0.964)
In (0.614, 0.386, 0.036)
In (0.614, 0.386, 0.464)
In (0.792, 0.208, 0.598)
In (0.792, 0.208, 0.902)
Pb (0.350, 0.650, 0.250)
Pb (0.650, 0.350, 0.750)

- total magnetization (μB per atom) = 0.000
- calculated formation energy (eV per atom) = -0.47
- crystal system = orthorhombic

Material: Ca4Tl2CdHg
Method: DFT, PBE
State: optimized geometry

Unit cell a=9.418 b=9.418 c=9.418 alpha=33.61 beta=33.61 gamma=33.61
Fractional coordinates of all 8 atoms:
Ca (0.124, 0.124, 0.124)
Ca (0.374, 0.374, 0.374)
Ca (0.626, 0.626, 0.626)
Ca (0.876, 0.876, 0.876)
Tl (0.248, 0.248, 0.248)
Tl (0.752, 0.752, 0.752)
Cd (0.500, 0.500, 0.500)
Hg (0.000, 0.000, 0.000)

- total magnetization (μB per atom) = 0.000
- calculated formation energy (eV per atom) = -0.46
- crystal system = trigonal

Material: TlGaTc2
Method: DFT, PBE
State: optimized geometry

Unit cell a=5.824 b=5.824 c=5.824 alpha=102.55 beta=102.55 gamma=124.44
Fractional coordinates of all 8 atoms:
Tl (0.000, 0.000, 0.000)
Tl (0.750, 0.250, 0.500)
Ga (0.250, 0.750, 0.500)
Ga (0.500, 0.500, 0.000)
Tc (0.164, 0.625, 0.039)
Tc (0.375, 0.414, 0.539)
Tc (0.586, 0.125, 0.961)
Tc (0.875, 0.836, 0.461)

- energy above the lowest structure with this stoichiometry (kJ/mol of formula units) = 108
- total magnetization (μB per atom) = 0.066
- calculated formation energy (eV per atom) = 0.81
- crystal system = tetragonal